The following is a PBE-GGA calculation of an optimized crystal structure of GeBAu, from the Alexandria database.

Output
Space group ... No. 194
Energy of formation ... 0.674 eV per atom
Crystal system ... hexagonal
Spin magnetization ... 0.000 μB/atom

POSCAR file:
```
GeBAu
1.0
-1.085 3.278 -0.815
-0.599 -2.678 -2.250
-7.570 -1.547 3.856
Ge B Au
2 2 2
Direct
0.333 0.667 0.750
0.667 0.333 0.250
0.333 0.667 0.250
0.667 0.333 0.750
0.000 0.000 0.000
0.000 0.000 0.500
```

=====

The following is a PBE-GGA calculation of an optimized crystal structure of GeBAu, from the Alexandria database.

Output
Space group ... No. 194
Energy of formation ... 0.713 eV per atom
Crystal system ... hexagonal
Spin magnetization ... 0.000 μB/atom

POSCAR file:
```
GeBAu
1.0
3.429 -1.980 0.000
0.000 3.960 0.000
0.000 0.000 7.753
Ge B Au
2 2 2
Direct
0.000 0.000 0.000
0.000 0.000 0.500
0.000 0.000 0.250
0.000 0.000 0.750
0.333 0.667 0.250
0.667 0.333 0.750
```

=====

The following is a PBE-GGA calculation of an optimized crystal structure of GeBAu, from the Alexandria database.

Output
Space group ... No. 1
Energy of formation ... 0.291 eV per atom
Crystal system ... triclinic
Spin magnetization ... 0.000 μB/atom

POSCAR file:
```
GeBAu
1.0
3.151 0.014 0.028
-2.368 5.667 -0.001
-0.718 -3.169 5.393
Ge B Au
2 2 2
Direct
0.927 0.279 0.103
0.647 0.558 0.735
0.947 0.162 0.380
0.437 0.130 0.443
0.744 0.689 0.198
0.393 0.899 0.665
```

=====

The following is a PBE-GGA calculation of an optimized crystal structure of GeBAu, from the Alexandria database.

Output
Space group ... No. 6
Energy of formation ... 0.292 eV per atom
Crystal system ... monoclinic
Spin magnetization ... 0.000 μB/atom

POSCAR file:
```
GeBAu
1.0
3.107 0.005 0.000
1.394 7.442 -0.003
0.000 0.002 4.132
Ge B Au
2 2 2
Direct
0.061 0.344 0.548
0.740 0.960 0.548
0.346 0.733 0.548
0.891 0.641 0.548
0.672 0.182 0.048
0.592 0.628 0.048
```

=====

The following is a PBE-GGA calculation of an optimized crystal structure of GeBAu, from the Alexandria database.

Output
Space group ... No. 1
Energy of formation ... 0.290 eV per atom
Crystal system ... triclinic
Spin magnetization ... 0.000 μB/atom

POSCAR file:
```
GeBAu
1.0
3.140 -0.016 0.012
0.190 10.177 0.136
0.581 -1.432 3.066
Ge B Au
2 2 2
Direct
0.640 0.412 0.126
0.788 0.970 0.463
0.533 0.554 0.792
0.002 0.600 0.955
0.214 0.191 0.773
0.817 0.762 0.688
```

=====

The following is a PBE-GGA calculation of an optimized crystal structure of GeBAu, from the Alexandria database.

Output
Space group ... No. 129
Energy of formation ... 0.475 eV per atom
Crystal system ... tetragonal
Spin magnetization ... 0.000 μB/atom

POSCAR file:
```
GeBAu
1.0
-3.027 -0.366 0.245
0.439 -2.619 1.519
0.094 5.105 8.771
Ge B Au
2 2 2
Direct
0.000 0.500 0.845
0.500 0.000 0.155
0.000 0.000 0.000
0.500 0.500 0.000
0.000 0.500 0.596
0.500 0.000 0.404
```